1.
An optimized crystal structure of AcSb3Au8, computed with GGA-PBE.

Computed properties:
Magnetic moment   0.0 μB/cell
DOS at the Fermi energy   5.0 states/eV/cell

CIF file:
```
data_AcSb3Au8
_cell_length_a 5.6809
_cell_length_b 5.6809
_cell_length_c 9.6837
_cell_angle_alpha 90.00
_cell_angle_beta 90.00
_cell_angle_gamma 120.00
_space_group_name_H-M_alt 'P 3 m 1'
_space_group_IT_number 156
_space_group_name_Hall 'P 3 -2"'
loop_
_atom_site_label
_atom_site_fract_x
_atom_site_fract_y
_atom_site_fract_z
Ac1 0.0000 0.0000 0.0000
Sb1 0.0000 0.0000 0.4094
Sb2 0.6667 0.3333 0.4584
Sb3 0.6667 0.3333 0.8095
Au1 0.1653 0.3306 0.6870
Au2 0.3333 0.6667 0.4392
Au3 0.3333 0.6667 0.9387
Au4 0.5014 0.0029 0.1890
```


2.
An optimized crystal structure of AcSb2Au4, computed with GGA-PBE.

Computed properties:
Magnetic moment   0.0 μB/cell
DOS at the Fermi energy   8.5 states/eV/cell
Energy relative to the lowest polymorph listed for this composition   289 meV per atom

CIF file:
```
data_AcSb2Au4
_cell_length_a 8.1526
_cell_length_b 8.1526
_cell_length_c 6.3345
_cell_angle_alpha 90.00
_cell_angle_beta 90.00
_cell_angle_gamma 90.00
_space_group_name_H-M_alt 'I 4/m m m'
_space_group_IT_number 139
_space_group_name_Hall '-I 4 2'
loop_
_atom_site_label
_atom_site_fract_x
_atom_site_fract_y
_atom_site_fract_z
Ac1 0.0000 0.0000 0.0000
Sb1 0.0000 0.5000 0.2500
Au1 0.0000 0.2333 0.5000
```


3.
An optimized crystal structure of Ac3Sb2Au4, computed with GGA-PBE.

Computed properties:
Magnetic moment   0.0 μB/cell
DOS at the Fermi energy   10.5 states/eV/cell

CIF file:
```
data_Ac3Sb2Au4
_cell_length_a 12.0971
_cell_length_b 4.8346
_cell_length_c 9.2924
_cell_angle_alpha 90.00
_cell_angle_beta 109.35
_cell_angle_gamma 90.00
_space_group_name_H-M_alt 'C 1 2/m 1'
_space_group_IT_number 12
_space_group_name_Hall '-C 2y'
loop_
_atom_site_label
_atom_site_fract_x
_atom_site_fract_y
_atom_site_fract_z
Ac1 0.0000 0.0000 0.0000
Ac2 0.1597 0.5000 0.6752
Sb1 0.1190 0.5000 0.2807
Au1 0.0473 0.0000 0.3837
Au2 0.2436 0.5000 0.0685
```


4.
An optimized crystal structure of AcSbAu2, computed with GGA-PBE.

Computed properties:
Magnetic moment   0.0 μB/cell
DOS at the Fermi energy   6.1 states/eV/cell
Energy relative to the lowest polymorph listed for this composition   35 meV per atom

CIF file:
```
data_AcSbAu2
_cell_length_a 7.4520
_cell_length_b 7.4520
_cell_length_c 7.4520
_cell_angle_alpha 90.00
_cell_angle_beta 90.00
_cell_angle_gamma 90.00
_space_group_name_H-M_alt 'F m -3 m'
_space_group_IT_number 225
_space_group_name_Hall '-F 4 2 3'
loop_
_atom_site_label
_atom_site_fract_x
_atom_site_fract_y
_atom_site_fract_z
Ac1 0.0000 0.0000 0.0000
Sb1 0.0000 0.0000 0.5000
Au1 0.2500 0.2500 0.2500
```


5.
An optimized crystal structure of Ac2SbAu10, computed with GGA-PBE.

Computed properties:
Magnetic moment   0.0 μB/cell
DOS at the Fermi energy   11.4 states/eV/cell

CIF file:
```
data_Ac2SbAu10
_cell_length_a 5.4948
_cell_length_b 8.2255
_cell_length_c 13.8969
_cell_angle_alpha 90.00
_cell_angle_beta 90.23
_cell_angle_gamma 90.07
_space_group_name_H-M_alt 'P -1'
_space_group_IT_number 2
_space_group_name_Hall '-P 1'
loop_
_atom_site_label
_atom_site_fract_x
_atom_site_fract_y
_atom_site_fract_z
Ac1 0.0016 0.2291 0.1262
Ac2 0.4965 0.2709 0.6262
Sb1 0.0000 0.5000 0.5000
Sb2 0.5000 0.0000 0.0000
Au1 0.0017 0.5813 0.2312
Au2 0.0018 0.9994 0.3202
Au3 0.0078 0.8352 0.4979
Au4 0.2443 0.1534 0.8460
Au5 0.2476 0.8461 0.1542
Au6 0.2533 0.6530 0.6548
Au7 0.2548 0.3458 0.3466
Au8 0.4994 0.5006 0.8202
Au9 0.4990 0.6649 0.9978
Au10 0.4987 0.9187 0.7313
```


6.
An optimized crystal structure of Ac3Sb4Au4, computed with GGA-PBE.

Computed properties:
Magnetic moment   0.0 μB/cell
DOS at the Fermi energy   14.6 states/eV/cell
Energy relative to the lowest polymorph listed for this composition   15 meV per atom

CIF file:
```
data_Ac3Sb4Au4
_cell_length_a 4.5222
_cell_length_b 4.7250
_cell_length_c 29.1940
_cell_angle_alpha 90.00
_cell_angle_beta 90.00
_cell_angle_gamma 90.00
_space_group_name_H-M_alt 'I m m m'
_space_group_IT_number 71
_space_group_name_Hall '-I 2 2'
loop_
_atom_site_label
_atom_site_fract_x
_atom_site_fract_y
_atom_site_fract_z
Ac1 0.0000 0.0000 0.0000
Ac2 0.0000 0.5000 0.1504
Sb1 0.0000 0.0000 0.4443
Sb2 0.0000 0.5000 0.3053
Au1 0.0000 0.0000 0.2547
Au2 0.0000 0.5000 0.3985
```


Number 1: calculated total energy -0.276 Ry per atom, E_form (uncorrected) -0.191 eV/atom. Number 2: calculated total energy -0.278 Ry per atom, E_form (uncorrected) -0.142 eV/atom. Number 3: calculated total energy -0.340 Ry per atom, E_form (uncorrected) -0.887 eV/atom. Number 4: calculated total energy -0.321 Ry per atom, E_form (uncorrected) -0.664 eV/atom. Number 5: calculated total energy -0.285 Ry per atom, E_form (uncorrected) -0.404 eV/atom. Number 6: calculated total energy -0.332 Ry per atom, E_form (uncorrected) -0.710 eV/atom.